Entry 1:
Below is a geometry-optimized ThCuP2 structure, with properties calculated at the PBE-GGA level.

The space group is R-3m (No. 166, hexagonal axes) and the conventional cell measures 4.3932, 4.3932 and 21.0573 Å, with angles of 90.00, 90.00 and 120.00 degrees. The inequivalent atoms are Th at (0.0000, 0.0000, 0.0000), Cu at (0.0000, 0.0000, 0.5000) and P at (0.0000, 0.0000, 0.3974).

The formation energy is -329.5 meV per atom.

***

Entry 2:
Below is a geometry-optimized LiAc3Pt8 structure, with properties calculated at the PBE-GGA level.

The space group is R3m (No. 160, hexagonal axes) and the conventional cell measures 5.5853, 5.5853 and 27.3207 Å, with angles of 90.00, 90.00 and 120.00 degrees. The inequivalent atoms are Li at (0.0000, 0.0000, 0.0000), Ac at (0.0000, 0.0000, 0.1291), Ac at (0.0000, 0.0000, 0.5168), Ac at (0.0000, 0.0000, 0.6461), Pt at (0.0000, 0.0000, 0.3280), Pt at (0.0000, 0.0000, 0.8275), Pt at (0.9999, 0.5000, 0.5783) and Pt at (0.0026, 0.5013, 0.0768).

The formation energy is -954.1 meV per atom.

***

Entry 3:
Below is a geometry-optimized SiPBr2 structure, with properties calculated at the PBE-GGA level.

The space group is Imm2 (No. 44) and the conventional cell measures 3.567, 4.340 and 14.037 Å, with angles of 90.00, 90.00 and 90.00 degrees. The inequivalent atoms are Si at (0.000, 0.000, 0.000), P at (0.000, 0.500, 0.390), Br at (0.000, 0.000, 0.591) and Br at (0.000, 0.500, 0.859).

For the formation energy from raw total energies, the calculation gives 0.308 eV/atom.

***

Entry 4:
Below is a geometry-optimized RbTe2Se2 structure, with properties calculated at the PBE-GGA level.

The space group is I4/mmm (No. 139) and the conventional cell measures 4.592, 4.592 and 15.454 Å, with angles of 90.00, 90.00 and 90.00 degrees. The inequivalent atoms are Rb at (0.000, 0.000, 0.000), Te at (0.000, 0.500, 0.250) and Se at (0.000, 0.000, 0.424).

For the formation energy from raw total energies, the calculation gives -0.220 eV/atom.

***

Entry 5:
Below is a geometry-optimized SrLaYTi2 structure, with properties calculated at the PBE-GGA level.

The space group is P4/mmm (No. 123) and the conventional cell measures 5.143, 5.143 and 5.490 Å, with angles of 90.00, 90.00 and 90.00 degrees. The inequivalent atoms are Sr at (0.000, 0.000, 0.000), La at (0.000, 0.000, 0.500), Y at (0.500, 0.500, 0.500) and Ti at (0.000, 0.500, 0.000).

The formation energy is 1372.7 meV per atom.

***

Entry 6:
Below is a geometry-optimized Ba4MoSe structure, with properties calculated at the PBE-GGA level.

The space group is F-43m (No. 216) and the conventional cell measures 10.095, 10.095 and 10.095 Å, with angles of 90.00, 90.00 and 90.00 degrees. The inequivalent atoms are Ba at (0.125, 0.125, 0.125), Mo at (0.250, 0.250, 0.750) and Se at (0.000, 0.000, 0.500).

For the formation energy from raw total energies, the calculation gives 0.805 eV/atom.

***

Entry 7:
Below is a geometry-optimized EuHo2Ir structure, with properties calculated at the PBE-GGA level.

The space group is R-3m (No. 166, hexagonal axes) and the conventional cell measures 3.9708, 3.9708 and 31.5506 Å, with angles of 90.00, 90.00 and 120.00 degrees. The inequivalent atoms are Eu at (0.0000, 0.0000, 0.0000), Ho at (0.0000, 0.0000, 0.1198) and Ir at (0.0000, 0.0000, 0.5000).

The formation energy is -280.5 meV per atom.

***

Entry 8:
Below is a geometry-optimized LiDyErIn structure, with properties calculated at the PBE-GGA level.

The space group is F-43m (No. 216) and the conventional cell measures 7.421, 7.421 and 7.421 Å, with angles of 90.00, 90.00 and 90.00 degrees. The inequivalent atoms are Li at (0.000, 0.000, 0.000), Dy at (0.250, 0.250, 0.750), Er at (0.250, 0.250, 0.250) and In at (0.000, 0.000, 0.500).

The formation energy is -260.7 meV per atom.

***

Entry 9:
Below is a geometry-optimized Tb5HgSe4 structure, with properties calculated at the PBE-GGA level.

The space group is I4/m (No. 87) and the conventional cell measures 9.273, 9.273 and 5.870 Å, with angles of 90.00, 90.00 and 90.00 degrees. The inequivalent atoms are Tb at (0.000, 0.000, 0.000), Tb at (0.101, 0.696, 0.500), Hg at (0.000, 0.000, 0.500) and Se at (0.100, 0.698, 0.000).

For the formation energy from raw total energies, the calculation gives -1.528 eV/atom.

***

Entry 10:
Below is a geometry-optimized Mg6Ag2Au structure, with properties calculated at the PBE-GGA level.

The space group is Immm (No. 71) and the conventional cell measures 8.828, 9.091 and 9.156 Å, with angles of 90.00, 90.00 and 90.00 degrees. The inequivalent atoms are Mg at (0.000, 0.229, 0.165), Mg at (0.177, 0.224, 0.500), Mg at (0.191, 0.500, 0.244), Ag at (0.000, 0.000, 0.348), Ag at (0.159, 0.000, 0.000), Au at (0.000, 0.500, 0.000) and Au at (0.000, 0.500, 0.500).

The formation energy is -239.6 meV per atom.

***

Entry 11:
Below is a geometry-optimized Be5Pd4Ru structure, with properties calculated at the PBE-GGA level.

The space group is P4/mmm (No. 123) and the conventional cell measures 2.827, 2.827 and 14.081 Å, with angles of 90.00, 90.00 and 90.00 degrees. The inequivalent atoms are Be at (0.000, 0.000, 0.000), Be at (0.000, 0.000, 0.203), Be at (0.000, 0.000, 0.409), Pd at (0.500, 0.500, 0.100), Pd at (0.500, 0.500, 0.300) and Ru at (0.500, 0.500, 0.500).

The formation energy is -523.7 meV per atom.

***

Final energy values, unit eV per atom, following the record order: -5.9134 -6.1679 -3.2370 -3.0641 -4.3999 -2.8626 -7.3532 -3.7150 -5.2667 -2.3004 -5.3915.